The following is a meta-GGA SCAN calculation of a crystal of Al2In2I relaxed with PBEsol, from Alexandria.

Lattice parameters (Å, degrees): 4.395 4.395 13.049 90.00 90.00 90.00
Space group I4/mmm (No. 139)
Asymmetric unit:
Al 0.000 0.000 0.100 x4
In 0.000 0.500 0.250 x4
I 0.000 0.000 0.500 x2

---

The following is a meta-GGA SCAN calculation of a crystal of ReMoSeN2 relaxed with PBEsol, from Alexandria.

Lattice parameters (Å, degrees): 3.835 3.835 5.255 90.00 90.00 90.00
Space group P4/mmm (No. 123)
Asymmetric unit:
Re 0.000 0.000 0.000 x1
Mo 0.500 0.500 0.500 x1
Se 0.500 0.500 0.000 x1
N 0.000 0.500 0.500 x2

---

It is found that the size of the total moment values, taken in the order of the records, are 0.000 4.134 μB/cell.
It is found that the energy relative to the elements, uncorrected values, taken in the order of the records, are 0.186 1.190 eV per atom.